# LaY3Tm2Bi6 | Alexandria | PBE-GGA | optimized geometry
# Formation energy from the elements in kJ/mol of formula units: -1016
data_LaY3Tm2Bi6
_cell_length_a 7.803
_cell_length_b 13.521
_cell_length_c 7.807
_cell_angle_alpha 90.00
_cell_angle_beta 109.52
_cell_angle_gamma 90.00
_symmetry_space_group_name_H-M 'C 1 2/m 1'
_symmetry_Int_Tables_number 12
_symmetry_space_group_name_Hall '-C 2y'
loop_
_atom_site_label
_atom_site_fract_x
_atom_site_fract_y
_atom_site_fract_z
La1 0.000 0.000 0.000
Y1 0.000 0.162 0.500
Y2 0.000 0.500 0.500
Tm1 0.000 0.332 0.000
Bi1 0.240 0.500 0.249
Bi2 0.244 0.329 0.747



# Ir2W | Alexandria | PBE-GGA | optimized geometry
# Formation energy from the elements in kJ/mol of formula units: -14
data_Ir2W
_cell_length_a 4.3760
_cell_length_b 4.3760
_cell_length_c 2.7495
_cell_angle_alpha 90.00
_cell_angle_beta 90.00
_cell_angle_gamma 120.00
_symmetry_space_group_name_H-M 'P 6/m m m'
_symmetry_Int_Tables_number 191
_symmetry_space_group_name_Hall '-P 6 2'
loop_
_atom_site_label
_atom_site_fract_x
_atom_site_fract_y
_atom_site_fract_z
Ir1 0.3333 0.6667 0.0000
W1 0.0000 0.0000 0.5000



# MnBe2Cr | Alexandria | PBE-GGA | optimized geometry
# Formation energy from the elements in kJ/mol of formula units: -1
# Offset from the most stable computed form in meV/atom: 72
data_MnBe2Cr
_cell_length_a 2.881
_cell_length_b 3.639
_cell_length_c 7.399
_cell_angle_alpha 90.00
_cell_angle_beta 90.00
_cell_angle_gamma 90.00
_symmetry_space_group_name_H-M 'I m m m'
_symmetry_Int_Tables_number 71
_symmetry_space_group_name_Hall '-I 2 2'
loop_
_atom_site_label
_atom_site_fract_x
_atom_site_fract_y
_atom_site_fract_z
Mn1 0.000 0.000 0.000
Be1 0.000 0.500 0.253
Cr1 0.000 0.000 0.500



# Y5Hg2Se2 | Alexandria | PBE-GGA | optimized geometry
# Formation energy (no corrections) in meV per atom: -883
data_Y5Hg2Se2
_cell_length_a 15.094
_cell_length_b 7.752
_cell_length_c 7.969
_cell_angle_alpha 90.00
_cell_angle_beta 90.00
_cell_angle_gamma 90.00
_symmetry_space_group_name_H-M 'C m c e'
_symmetry_Int_Tables_number 64
_symmetry_space_group_name_Hall '-C 2ac 2'
loop_
_atom_site_label
_atom_site_fract_x
_atom_site_fract_y
_atom_site_fract_z
Y1 0.000 0.000 0.000
Y2 0.134 0.170 0.336
Hg1 0.206 0.000 0.000
Se1 0.000 0.142 0.648



# BaAu | Alexandria | PBE-GGA | optimized geometry
# Formation energy from the elements in kJ/mol of formula units: -114
data_BaAu
_cell_length_a 4.404
_cell_length_b 4.720
_cell_length_c 15.846
_cell_angle_alpha 90.00
_cell_angle_beta 90.00
_cell_angle_gamma 90.00
_symmetry_space_group_name_H-M 'I m m a'
_symmetry_Int_Tables_number 74
_symmetry_space_group_name_Hall '-I 2b 2'
loop_
_atom_site_label
_atom_site_fract_x
_atom_site_fract_y
_atom_site_fract_z
Ba1 0.000 0.250 0.119
Au1 0.000 0.250 0.553



# La6Tl3Hg | Alexandria | PBE-GGA | optimized geometry
# Formation energy from the elements in kJ/mol of formula units: -336
# Offset from the most stable computed form in meV/atom: 0
data_La6Tl3Hg
_cell_length_a 9.812
_cell_length_b 5.550
_cell_length_c 12.247
_cell_angle_alpha 90.00
_cell_angle_beta 106.78
_cell_angle_gamma 90.00
_symmetry_space_group_name_H-M 'P 1 21/m 1'
_symmetry_Int_Tables_number 11
_symmetry_space_group_name_Hall '-P 2yb'
loop_
_atom_site_label
_atom_site_fract_x
_atom_site_fract_y
_atom_site_fract_z
La1 0.033 0.250 0.410
La2 0.160 0.750 0.178
La3 0.255 0.250 0.002
La4 0.350 0.750 0.813
La5 0.377 0.250 0.354
La6 0.412 0.250 0.616
Tl1 0.035 0.750 0.883
Tl2 0.130 0.250 0.718
Tl3 0.266 0.750 0.473
Hg1 0.458 0.750 0.106



# La2TlPd6 | Alexandria | PBE-GGA | optimized geometry
# Formation energy from the elements in kJ/mol of formula units: -558
# Offset from the most stable computed form in meV/atom: 33
data_La2TlPd6
_cell_length_a 10.019
_cell_length_b 5.807
_cell_length_c 6.604
_cell_angle_alpha 90.00
_cell_angle_beta 103.10
_cell_angle_gamma 90.00
_symmetry_space_group_name_H-M 'C 1 2/m 1'
_symmetry_Int_Tables_number 12
_symmetry_space_group_name_Hall '-C 2y'
loop_
_atom_site_label
_atom_site_fract_x
_atom_site_fract_y
_atom_site_fract_z
La1 0.138 0.000 0.307
Tl1 0.000 0.500 0.500
Pd1 0.122 0.500 0.176
Pd2 0.136 0.237 0.829



# PaCu2IrO8 | Alexandria | PBE-GGA | optimized geometry
# Formation energy (no corrections) in meV per atom: -1089
data_PaCu2IrO8
_cell_length_a 6.662
_cell_length_b 6.662
_cell_length_c 6.661
_cell_angle_alpha 90.00
_cell_angle_beta 90.00
_cell_angle_gamma 90.00
_symmetry_space_group_name_H-M 'I -4 m 2'
_symmetry_Int_Tables_number 119
_symmetry_space_group_name_Hall 'I -4 -2'
loop_
_atom_site_label
_atom_site_fract_x
_atom_site_fract_y
_atom_site_fract_z
Pa1 0.000 0.000 0.000
Cu1 0.000 0.000 0.500
Cu2 0.000 0.500 0.750
Ir1 0.000 0.500 0.250
O1 0.000 0.195 0.294
O2 0.000 0.333 0.982



# CeSm14Dy | Alexandria | PBE-GGA | optimized geometry
# Formation energy from the elements in kJ/mol of formula units: 46
data_CeSm14Dy
_cell_length_a 7.243
_cell_length_b 7.243
_cell_length_c 10.223
_cell_angle_alpha 90.00
_cell_angle_beta 90.00
_cell_angle_gamma 90.00
_symmetry_space_group_name_H-M 'P 4/m m m'
_symmetry_Int_Tables_number 123
_symmetry_space_group_name_Hall '-P 4 2'
loop_
_atom_site_label
_atom_site_fract_x
_atom_site_fract_y
_atom_site_fract_z
Ce1 0.000 0.000 0.000
Sm1 0.000 0.000 0.500
Sm2 0.000 0.500 0.000
Sm3 0.000 0.500 0.500
Sm4 0.249 0.249 0.248
Sm5 0.500 0.500 0.500
Dy1 0.500 0.500 0.000



# NaScAl2H | Alexandria | PBE-GGA | optimized geometry
# Electronic total energy in eV per cell: -18.26
data_NaScAl2H
_cell_length_a 4.362
_cell_length_b 4.362
_cell_length_c 4.341
_cell_angle_alpha 90.00
_cell_angle_beta 90.00
_cell_angle_gamma 90.00
_symmetry_space_group_name_H-M 'P 4/m m m'
_symmetry_Int_Tables_number 123
_symmetry_space_group_name_Hall '-P 4 2'
loop_
_atom_site_label
_atom_site_fract_x
_atom_site_fract_y
_atom_site_fract_z
Na1 0.000 0.000 0.000
Sc1 0.500 0.500 0.000
Al1 0.000 0.500 0.500
H1 0.500 0.500 0.500



# KGeSbI2 | Alexandria | PBE-GGA | optimized geometry
# Offset from the most stable computed form in meV/atom: 0
# Formation energy (no corrections) in meV per atom: -254
data_KGeSbI2
_cell_length_a 6.027
_cell_length_b 6.027
_cell_length_c 5.648
_cell_angle_alpha 90.00
_cell_angle_beta 90.00
_cell_angle_gamma 90.00
_symmetry_space_group_name_H-M 'P 4/m m m'
_symmetry_Int_Tables_number 123
_symmetry_space_group_name_Hall '-P 4 2'
loop_
_atom_site_label
_atom_site_fract_x
_atom_site_fract_y
_atom_site_fract_z
K1 0.000 0.000 0.000
Ge1 0.500 0.500 0.500
Sb1 0.500 0.500 0.000
I1 0.000 0.500 0.500



# TbNpTe2 | Alexandria | PBE-GGA | optimized geometry
# Offset from the most stable computed form in meV/atom: 0
# Formation energy (no corrections) in meV per atom: -852
data_TbNpTe2
_cell_length_a 3.767
_cell_length_b 3.767
_cell_length_c 7.626
_cell_angle_alpha 90.00
_cell_angle_beta 90.00
_cell_angle_gamma 90.00
_symmetry_space_group_name_H-M 'P 4/m m m'
_symmetry_Int_Tables_number 123
_symmetry_space_group_name_Hall '-P 4 2'
loop_
_atom_site_label
_atom_site_fract_x
_atom_site_fract_y
_atom_site_fract_z
Tb1 0.000 0.000 0.000
Np1 0.000 0.000 0.500
Te1 0.500 0.500 0.248



Number 1: M_tot 0.00 μB per atom. Number 2: M_tot 0.00 μB per atom. Number 3: M_tot 0.04 μB per atom. Number 4: M_tot 0.08 μB per atom. Number 5: M_tot 0.00 μB per atom. Number 6: M_tot 0.00 μB per atom. Number 7: M_tot 0.00 μB per atom. Number 8: M_tot 0.08 μB per atom. Number 9: M_tot 0.06 μB per atom. Number 10: M_tot 0.00 μB per atom. Number 11: M_tot 0.33 μB per atom. Number 12: M_tot 1.34 μB per atom.